# 1
Here is a geometry-optimized Nd2SmZn9 structure from Alexandria. Energies are from GGA-PBE.

a = 5.5150 Å, b = 5.5150 Å, c = 26.2708 Å
α = 90.00°, β = 90.00°, γ = 120.00°
Space group R-3m (No. 166, hexagonal axes)
Asymmetric unit:
Nd1 0.0000 0.0000 0.1407 [6 per cell]
Sm1 0.0000 0.0000 0.0000 [3 per cell]
Zn1 0.0000 0.0000 0.3348 [6 per cell]
Zn2 0.0000 0.0000 0.5000 [3 per cell]
Zn3 0.0038 0.5019 0.9193 [18 per cell]

DFT formation energy ... -3.580 eV/f.u.
Size of the total moment ... 0.0 μB/f.u.

---

# 2
Here is a geometry-optimized NdSm2Zn6 structure from Alexandria. Energies are from GGA-PBE.

a = 7.8878 Å, b = 7.8878 Å, c = 3.5965 Å
α = 90.00°, β = 90.00°, γ = 120.00°
Space group P6/mmm (No. 191)
Asymmetric unit:
Nd1 0.0000 0.0000 0.0000 [1 per cell]
Sm1 0.3333 0.6667 0.0000 [2 per cell]
Zn1 0.0000 0.3347 0.5000 [6 per cell]

DFT formation energy ... -3.212 eV/f.u.
Size of the total moment ... 0.0 μB/f.u.

---

# 3
Here is a geometry-optimized NdSmZn structure from Alexandria. Energies are from GGA-PBE.

a = 5.0454 Å, b = 5.0454 Å, c = 3.7742 Å
α = 90.00°, β = 90.00°, γ = 120.00°
Space group P3m1 (No. 156)
Asymmetric unit:
Nd1 0.0000 0.0000 0.0000 [1 per cell]
Sm1 0.3333 0.6667 0.5635 [1 per cell]
Zn1 0.6667 0.3333 0.2969 [1 per cell]

DFT formation energy ... -0.157 eV/f.u.
Size of the total moment ... 0.0 μB/f.u.

---

Q: Look up the size of the total moment of the first one.
A: 0.0 μB/f.u.

---

Q: Number 3 is which compound?
A: NdSmZn